Entry 1:
Entry from Alexandria: a relaxed Tc3Pb crystal (GGA-PBE).

The structure in POSCAR format:
```
Tc3Pb
1.0
-4.217 1.636 -3.434
-3.310 -3.060 2.607
-1.918 6.865 5.625
Pb Tc
4 12
Direct
0.104 0.556 0.250
0.396 0.056 0.250
0.896 0.444 0.750
0.604 0.944 0.750
0.148 0.202 0.991
0.352 0.702 0.991
0.648 0.298 0.491
0.873 0.082 0.250
0.352 0.702 0.509
0.852 0.798 0.009
0.127 0.918 0.750
0.852 0.798 0.491
0.627 0.582 0.250
0.373 0.418 0.750
0.148 0.202 0.509
0.648 0.298 0.009
```

Energy above the lowest structure with this stoichiometry, meV/atom: 47.4
Magnetization, μB/f.u.: 0.00
E_form, eV per formula unit: 2.11
D(E_F), states/eV per atom: 1.0645
ρ, g/cm3: 12.40

***

Entry 2:
Entry from Alexandria: a relaxed BaTeI2Cl crystal (GGA-PBE).

The structure in POSCAR format:
```
BaTeI2Cl
1.0
-3.906 -2.165 4.976
-3.139 -4.099 -4.248
4.813 -5.239 1.499
I Te Cl Ba
2 1 1 1
Direct
0.500 0.000 0.000
0.000 0.500 0.000
0.000 0.000 0.500
0.500 0.500 0.500
0.000 0.000 0.000
```

Energy above the lowest structure with this stoichiometry, meV/atom: 219.6
Magnetization, μB/f.u.: 3.05
ΔE_f (raw), meV per atom: -338
D(E_F), states/eV per atom: 2.1962
ρ, g/cm3: 2.83

***

Entry 3:
Entry from Alexandria: a relaxed Zr3OsRh2 crystal (GGA-PBE).

The structure in POSCAR format:
```
Zr3OsRh2
1.0
-0.040 -2.079 -2.545
2.880 1.203 -1.028
4.785 -6.785 5.466
Zr Os Rh
3 1 2
Direct
0.000 0.000 0.000
0.000 0.000 0.334
0.000 0.000 0.666
0.500 0.500 0.500
0.500 0.500 0.167
0.500 0.500 0.833
```

Energy above the lowest structure with this stoichiometry, meV/atom: 4.0
Magnetization, μB/f.u.: 0.00
E_form, eV per formula unit: -4.07
D(E_F), states/eV per atom: 0.8804
ρ, g/cm3: 10.36

***

Entry 4:
Entry from Alexandria: a relaxed ZnCu2RuN crystal (GGA-PBE).

The structure in POSCAR format:
```
ZnCu2RuN
1.0
4.552 0.000 0.000
0.000 4.736 0.000
0.000 0.000 4.552
N Cu Zn Ru
1 2 1 1
Direct
0.500 0.500 0.500
0.500 0.000 0.000
0.000 0.000 0.500
0.000 0.500 0.000
0.000 0.000 0.000
```

Magnetization, μB/f.u.: 0.00
ΔE_f (raw), meV per atom: 2228
D(E_F), states/eV per atom: 2.1253
ρ, g/cm3: 5.20